Entry 1:
NaFeTe2N: relaxed, GGA-PBE.

Calculated values
Total magnetic moment, μB/f.u.: 0.3
Formation energy from raw total energies, eV per atom: -0.05
Energy above the lowest structure with this stoichiometry, eV per atom: 0.000
Fermi-level density of states, states/eV/cell: 3.119
DFT total energy, eV/atom: -4.93
SG: P4/mmm, No. 123

Cell lengths 5.545, 5.545, 3.391 Å; angles 90.00, 90.00, 90.00 degrees
Sites, in units of the cell vectors:
Na 0.000 0.000 0.000
Fe 0.500 0.500 0.500
Te 0.000 0.500 0.500
Te 0.500 0.000 0.500
N 0.500 0.500 0.000


Entry 2:
Cd2AsRu: relaxed, GGA-PBE.

Calculated values
Total magnetic moment, μB/f.u.: 0.5
Formation enthalpy at 0 K, eV per atom: 0.37
Fermi-level density of states, states/eV/cell: 3.213
DFT total energy, eV/atom: -3.56
SG: R-3m, No. 166

Cell lengths 9.524, 9.524, 9.524 Å; angles 18.39, 18.39, 18.39 degrees
Sites, in units of the cell vectors:
Cd 0.246 0.246 0.246
Cd 0.754 0.754 0.754
As 0.000 0.000 0.000
Ru 0.500 0.500 0.500


Entry 3:
Ta2Zn2Hg: relaxed, GGA-PBE.

Calculated values
Total magnetic moment, μB/f.u.: 0.0
Formation enthalpy at 0 K, eV per atom: 0.32
Fermi-level density of states, states/eV/cell: 6.714
DFT total energy, eV/atom: -4.99
SG: P4/mbm, No. 127

Cell lengths 6.599, 6.599, 3.922 Å; angles 90.00, 90.00, 90.00 degrees
Sites, in units of the cell vectors:
Ta 0.162 0.338 0.000
Ta 0.338 0.838 0.000
Ta 0.662 0.162 0.000
Ta 0.838 0.662 0.000
Zn 0.130 0.630 0.500
Zn 0.370 0.130 0.500
Zn 0.630 0.870 0.500
Zn 0.870 0.370 0.500
Hg 0.000 0.000 0.500
Hg 0.500 0.500 0.500


Entry 4:
Rb2HgBrCl3: relaxed, GGA-PBE.

Calculated values
Total magnetic moment, μB/f.u.: 0.0
Formation energy from raw total energies, eV per atom: -1.31
DFT total energy, eV/atom: -2.66
SG: Immm, No. 71

Cell lengths 9.034, 9.034, 9.034 Å; angles 144.52, 143.69, 51.67 degrees
Sites, in units of the cell vectors:
Rb 0.138 0.138 0.000
Rb 0.862 0.862 0.000
Hg 0.500 0.500 0.000
Br 0.000 0.500 0.500
Cl 0.338 0.338 0.000
Cl 0.500 0.000 0.500
Cl 0.662 0.662 0.000


Entry 5:
Ta2VReN: relaxed, GGA-PBE.

Calculated values
Total magnetic moment, μB/f.u.: 0.0
Formation energy from raw total energies, eV per atom: -0.48
Fermi-level density of states, states/eV/cell: 3.425
DFT total energy, eV/atom: -11.20
SG: P4/mmm, No. 123

Cell lengths 4.359, 4.359, 3.728 Å; angles 90.00, 90.00, 90.00 degrees
Sites, in units of the cell vectors:
Ta 0.000 0.500 0.000
Ta 0.500 0.000 0.000
V 0.000 0.000 0.500
Re 0.500 0.500 0.500
N 0.000 0.000 0.000


Entry 6:
Tl3Cd: relaxed, GGA-PBE.

Calculated values
Total magnetic moment, μB/f.u.: 0.0
Formation enthalpy at 0 K, eV per atom: 0.04
Fermi-level density of states, states/eV/cell: 1.788
DFT total energy, eV/atom: -1.97
SG: Imm2, No. 44

Cell lengths 6.665, 6.665, 6.665 Å; angles 150.26, 62.49, 126.42 degrees
Sites, in units of the cell vectors:
Tl 0.000 0.000 0.000
Tl 0.383 0.618 0.765
Tl 0.853 0.618 0.235
Cd 0.477 0.977 0.500


Entry 7:
Y8Ge3PS4: relaxed, GGA-PBE.

Calculated values
Total magnetic moment, μB/f.u.: 0.0
Formation energy from raw total energies, eV per atom: -1.58
Fermi-level density of states, states/eV/cell: 4.132
DFT total energy, eV/atom: -7.05
SG: R-3m, No. 166

Cell lengths 8.075, 8.075, 8.075 Å; angles 60.06, 60.06, 60.06 degrees
Sites, in units of the cell vectors:
Y 0.250 0.250 0.250
Y 0.250 0.747 0.747
Y 0.253 0.253 0.750
Y 0.253 0.750 0.253
Y 0.747 0.250 0.747
Y 0.747 0.747 0.250
Y 0.750 0.253 0.253
Y 0.750 0.750 0.750
Ge 0.000 0.000 0.500
Ge 0.000 0.500 0.000
Ge 0.500 0.000 0.000
P 0.500 0.500 0.500
S 0.000 0.000 0.000
S 0.000 0.500 0.500
S 0.500 0.000 0.500
S 0.500 0.500 0.000


Entry 8:
FeAsIBr2: relaxed, GGA-PBE.

Calculated values
Total magnetic moment, μB/f.u.: 0.0
Formation energy from raw total energies, eV per atom: 0.34
Energy above the lowest structure with this stoichiometry, eV per atom: 0.000
Fermi-level density of states, states/eV/cell: 6.977
DFT total energy, eV/atom: -3.26
SG: P4/mmm, No. 123

Cell lengths 4.912, 4.912, 4.832 Å; angles 90.00, 90.00, 90.00 degrees
Sites, in units of the cell vectors:
Fe 0.000 0.000 0.000
As 0.000 0.000 0.500
I 0.500 0.500 0.500
Br 0.000 0.500 0.000
Br 0.500 0.000 0.000


Entry 9:
NaSiAu: relaxed, GGA-PBE.

Calculated values
Total magnetic moment, μB/f.u.: 0.0
Formation energy from raw total energies, eV per atom: -0.23
Fermi-level density of states, states/eV/cell: 3.487
DFT total energy, eV/atom: -3.57
SG: P2_1/c, No. 14

Cell lengths 5.907, 5.993, 7.822 Å; angles 90.00, 118.70, 90.00 degrees
Sites, in units of the cell vectors:
Na 0.204 0.104 0.397
Na 0.204 0.396 0.897
Na 0.796 0.604 0.103
Na 0.796 0.896 0.603
Si 0.204 0.599 0.547
Si 0.204 0.901 0.047
Si 0.796 0.099 0.953
Si 0.796 0.401 0.453
Au 0.379 0.623 0.310
Au 0.379 0.877 0.810
Au 0.621 0.123 0.190
Au 0.621 0.377 0.690


Entry 10:
SrTeSe2: relaxed, GGA-PBE.

Calculated values
Total magnetic moment, μB/f.u.: 0.0
Formation energy from raw total energies, eV per atom: -0.99
DFT total energy, eV/atom: -3.94
SG: P1, No. 1

Cell lengths 4.267, 7.851, 7.943 Å; angles 79.67, 77.30, 89.91 degrees
Sites, in units of the cell vectors:
Sr 0.000 0.000 0.000
Sr 0.144 0.564 0.674
Te 0.344 0.946 0.361
Te 0.627 0.478 0.077
Se 0.564 0.773 0.849
Se 0.575 0.282 0.835
Se 0.766 0.683 0.346
Se 0.782 0.190 0.341


Entry 11:
Na2GeTe3: relaxed, GGA-PBE.

Calculated values
Total magnetic moment, μB/f.u.: 0.0
Formation energy from raw total energies, eV per atom: -0.41
Energy above the lowest structure with this stoichiometry, eV per atom: 0.023
Fermi-level density of states, states/eV/cell: 3.210
DFT total energy, eV/atom: -3.19
SG: C2/c, No. 15

Cell lengths 8.142, 8.142, 6.836 Å; angles 97.84, 97.84, 67.47 degrees
Sites, in units of the cell vectors:
Na 0.005 0.297 0.154
Na 0.297 0.005 0.654
Na 0.703 0.995 0.346
Na 0.995 0.703 0.846
Ge 0.405 0.595 0.250
Ge 0.595 0.405 0.750
Te 0.116 0.884 0.250
Te 0.339 0.343 0.946
Te 0.343 0.339 0.446
Te 0.657 0.661 0.554
Te 0.661 0.657 0.054
Te 0.884 0.116 0.750


Entry 12:
Ho8C3S4N: relaxed, GGA-PBE.

Calculated values
Total magnetic moment, μB/f.u.: 0.0
Formation energy from raw total energies, eV per atom: -1.47
Fermi-level density of states, states/eV/cell: 2.926
DFT total energy, eV/atom: -7.04
SG: R-3m, No. 166

Cell lengths 7.584, 7.584, 7.584 Å; angles 57.92, 57.92, 57.92 degrees
Sites, in units of the cell vectors:
Ho 0.236 0.737 0.737
Ho 0.238 0.238 0.238
Ho 0.263 0.263 0.764
Ho 0.263 0.764 0.263
Ho 0.737 0.236 0.737
Ho 0.737 0.737 0.236
Ho 0.762 0.762 0.762
Ho 0.764 0.263 0.263
C 0.000 0.000 0.500
C 0.000 0.500 0.000
C 0.500 0.000 0.000
S 0.000 0.000 0.000
S 0.000 0.500 0.500
S 0.500 0.000 0.500
S 0.500 0.500 0.000
N 0.500 0.500 0.500


Entry 13:
AcScGe2Ru: relaxed, GGA-PBE.

Calculated values
Total magnetic moment, μB/f.u.: 0.0
Formation enthalpy at 0 K, eV per atom: -0.68
Fermi-level density of states, states/eV/cell: 3.009
DFT total energy, eV/atom: -6.47
SG: I-4m2, No. 119

Cell lengths 6.654, 6.654, 6.654 Å; angles 142.55, 142.55, 54.01 degrees
Sites, in units of the cell vectors:
Ac 0.000 0.000 0.000
Sc 0.250 0.750 0.500
Ge 0.385 0.385 0.000
Ge 0.615 0.615 0.000
Ru 0.750 0.250 0.500


Entry 14:
Er3Pb: relaxed, GGA-PBE.

Calculated values
Total magnetic moment, μB/f.u.: 1.1
Formation enthalpy at 0 K, eV per atom: -0.24
Fermi-level density of states, states/eV/cell: 11.676
DFT total energy, eV/atom: -4.59
SG: P6_3/mmc, No. 194

Cell lengths 6.840, 6.840, 5.614 Å; angles 90.00, 90.00, 120.00 degrees
Sites, in units of the cell vectors:
Er 0.168 0.336 0.250
Er 0.168 0.832 0.250
Er 0.336 0.168 0.750
Er 0.664 0.832 0.250
Er 0.832 0.168 0.750
Er 0.832 0.664 0.750
Pb 0.333 0.667 0.750
Pb 0.667 0.333 0.250


Entry 15:
OsAu2Cl: relaxed, GGA-PBE.

Calculated values
Total magnetic moment, μB/f.u.: 1.0
Formation energy from raw total energies, eV per atom: 0.93
Energy above the lowest structure with this stoichiometry, eV per atom: 0.437
Fermi-level density of states, states/eV/cell: 4.806
DFT total energy, eV/atom: -3.97
SG: P4/mmm, No. 123

Cell lengths 5.192, 5.192, 2.687 Å; angles 90.00, 90.00, 90.00 degrees
Sites, in units of the cell vectors:
Os 0.000 0.000 0.000
Au 0.000 0.500 0.500
Au 0.500 0.000 0.500
Cl 0.500 0.500 0.000


Entry 16:
CrSbAs2I: relaxed, GGA-PBE.

Calculated values
Total magnetic moment, μB/f.u.: 1.5
Formation energy from raw total energies, eV per atom: 0.46
Fermi-level density of states, states/eV/cell: 4.245
DFT total energy, eV/atom: -4.46
SG: P4/mmm, No. 123

Cell lengths 4.675, 4.675, 5.718 Å; angles 90.00, 90.00, 90.00 degrees
Sites, in units of the cell vectors:
Cr 0.000 0.000 0.000
Sb 0.500 0.500 0.500
As 0.000 0.500 0.000
As 0.500 0.000 0.000
I 0.000 0.000 0.500


Entry 17:
K4CaU3Se8: relaxed, GGA-PBE.

Calculated values
Total magnetic moment, μB/f.u.: 8.0
Formation energy from raw total energies, eV per atom: -1.36
Fermi-level density of states, states/eV/cell: 15.582
DFT total energy, eV/atom: -5.62
SG: R-3m, No. 166

Cell lengths 9.130, 9.130, 9.130 Å; angles 55.69, 55.69, 55.69 degrees
Sites, in units of the cell vectors:
K 0.000 0.000 0.000
K 0.000 0.500 0.500
K 0.500 0.000 0.500
K 0.500 0.500 0.000
Ca 0.500 0.500 0.500
U 0.000 0.000 0.500
U 0.000 0.500 0.000
U 0.500 0.000 0.000
Se 0.228 0.739 0.739
Se 0.236 0.236 0.236
Se 0.261 0.261 0.772
Se 0.261 0.772 0.261
Se 0.739 0.228 0.739
Se 0.739 0.739 0.228
Se 0.764 0.764 0.764
Se 0.772 0.261 0.261


Entry 18:
CrSbSCl2: relaxed, GGA-PBE.

Calculated values
Total magnetic moment, μB/f.u.: 3.7
Formation energy from raw total energies, eV per atom: -0.20
Energy above the lowest structure with this stoichiometry, eV per atom: 0.000
Fermi-level density of states, states/eV/cell: 3.417
DFT total energy, eV/atom: -4.52
SG: P4/mmm, No. 123

Cell lengths 4.699, 4.699, 4.926 Å; angles 90.00, 90.00, 90.00 degrees
Sites, in units of the cell vectors:
Cr 0.000 0.000 0.000
Sb 0.500 0.500 0.500
S 0.000 0.000 0.500
Cl 0.000 0.500 0.000
Cl 0.500 0.000 0.000


Entry 19:
Pm3SmTe6: relaxed, GGA-PBE.

Calculated values
Total magnetic moment, μB/f.u.: 0.0
Formation energy from raw total energies, eV per atom: -1.38
DFT total energy, eV/atom: -5.16
SG: P2_1/c, No. 14

Cell lengths 7.435, 8.283, 13.609 Å; angles 90.00, 122.86, 90.00 degrees
Sites, in units of the cell vectors:
Pm 0.000 0.000 0.000
Pm 0.000 0.500 0.500
Pm 0.305 0.120 0.751
Pm 0.305 0.380 0.251
Pm 0.695 0.620 0.749
Pm 0.695 0.880 0.249
Sm 0.500 0.000 0.500
Sm 0.500 0.500 0.000
Te 0.084 0.055 0.251
Te 0.084 0.445 0.751
Te 0.244 0.675 0.083
Te 0.244 0.825 0.583
Te 0.423 0.176 0.083
Te 0.423 0.324 0.583
Te 0.577 0.676 0.417
Te 0.577 0.824 0.917
Te 0.756 0.175 0.417
Te 0.756 0.325 0.917
Te 0.916 0.555 0.249
Te 0.916 0.945 0.749


Entry 20:
BeZn2Tc: relaxed, GGA-PBE.

Calculated values
Total magnetic moment, μB/f.u.: 0.0
Formation enthalpy at 0 K, eV per atom: 0.35
Fermi-level density of states, states/eV/cell: 4.764
DFT total energy, eV/atom: -3.81
SG: I-42d, No. 122

Cell lengths 9.319, 9.319, 9.319 Å; angles 158.44, 158.44, 30.68 degrees
Sites, in units of the cell vectors:
Be 0.000 0.000 0.000
Be 0.750 0.250 0.500
Zn 0.122 0.625 0.997
Zn 0.375 0.372 0.497
Zn 0.628 0.125 0.003
Zn 0.875 0.878 0.503
Tc 0.250 0.750 0.500
Tc 0.500 0.500 0.000


Entry 21:
TbDy2Er3Bi6: relaxed, GGA-PBE.

Calculated values
Total magnetic moment, μB/f.u.: 0.0
Formation enthalpy at 0 K, eV per atom: -0.84
Fermi-level density of states, states/eV/cell: 1.993
DFT total energy, eV/atom: -5.07
SG: C2/m, No. 12

Cell lengths 9.970, 9.970, 8.921 Å; angles 102.85, 102.85, 25.85 degrees
Sites, in units of the cell vectors:
Tb 0.000 0.000 0.000
Dy 0.333 0.333 0.667
Dy 0.667 0.667 0.333
Er 0.000 0.000 0.500
Er 0.333 0.333 0.167
Er 0.667 0.667 0.833
Bi 0.166 0.166 0.584
Bi 0.167 0.167 0.082
Bi 0.500 0.500 0.252
Bi 0.500 0.500 0.748
Bi 0.833 0.833 0.918
Bi 0.834 0.834 0.416


Entry 22:
Tm5ZrTl6: relaxed, GGA-PBE.

Calculated values
Total magnetic moment, μB/f.u.: 0.0
Formation enthalpy at 0 K, eV per atom: -0.23
Fermi-level density of states, states/eV/cell: 7.096
DFT total energy, eV/atom: -3.98
SG: P2/m, No. 10

Cell lengths 5.334, 7.303, 8.371 Å; angles 90.00, 108.30, 90.00 degrees
Sites, in units of the cell vectors:
Tm 0.000 0.000 0.000
Tm 0.331 0.000 0.663
Tm 0.337 0.500 0.674
Tm 0.663 0.500 0.326
Tm 0.669 0.000 0.337
Zr 0.000 0.500 0.000
Tl 0.166 0.254 0.331
Tl 0.166 0.746 0.331
Tl 0.500 0.250 0.000
Tl 0.500 0.750 0.000
Tl 0.834 0.254 0.669
Tl 0.834 0.746 0.669


Entry 23:
HoTmPS: relaxed, GGA-PBE.

Calculated values
Total magnetic moment, μB/f.u.: 0.0
Formation energy from raw total energies, eV per atom: -1.85
Fermi-level density of states, states/eV/cell: 1.515
DFT total energy, eV/atom: -6.50
SG: R3m, No. 160

Cell lengths 6.806, 6.806, 6.806 Å; angles 33.45, 33.45, 33.45 degrees
Sites, in units of the cell vectors:
Ho 0.000 0.000 0.000
Tm 0.494 0.494 0.494
P 0.748 0.748 0.748
S 0.246 0.246 0.246


Entry 24:
Nb3GeBr: relaxed, GGA-PBE.

Calculated values
Total magnetic moment, μB/f.u.: 0.0
Formation energy from raw total energies, eV per atom: 1.13
Energy above the lowest structure with this stoichiometry, eV per atom: 0.000
Fermi-level density of states, states/eV/cell: 3.696
DFT total energy, eV/atom: -6.17
SG: Pm-3m, No. 221

Cell lengths 4.733, 4.733, 4.733 Å; angles 90.00, 90.00, 90.00 degrees
Sites, in units of the cell vectors:
Nb 0.000 0.000 0.500
Nb 0.000 0.500 0.000
Nb 0.500 0.000 0.000
Ge 0.500 0.500 0.500
Br 0.000 0.000 0.000